Version 1
First-principles (PBE-GGA) data for a relaxed structure of Sm4Ho2Mg, as listed in the Alexandria database.

Geometry as CIF:
```
data_Sm4Ho2Mg
_chemical_formula_sum 'Sm12 Ho6 Mg3'
_symmetry_space_group_name_H-M 'R -3 m'
_symmetry_Int_Tables_number 166
_symmetry_space_group_name_Hall '-R 3 2"'
_cell_length_a 5.6250
_cell_length_b 5.6250
_cell_length_c 24.2463
_cell_angle_alpha 90.00
_cell_angle_beta 90.00
_cell_angle_gamma 120.00
loop_
_atom_site_label
_atom_site_fract_x
_atom_site_fract_y
_atom_site_fract_z
_atom_site_occupancy
Sm1 0.0000 0.0000 0.0676 1
Sm2 0.0000 0.0000 0.2118 1
Ho1 0.0000 0.0000 0.3589 1
Mg1 0.0000 0.0000 0.5000 1
```

***

Version 2
First-principles (PBE-GGA) data for a relaxed structure of Sm4Ho2Mg, as listed in the Alexandria database.

Geometry as CIF:
```
data_Sm4Ho2Mg
_chemical_formula_sum 'Sm4 Ho2 Mg1'
_symmetry_space_group_name_H-M 'P 1 2/m 1'
_symmetry_Int_Tables_number 10
_symmetry_space_group_name_Hall '-P 2y'
_cell_length_a 5.9395
_cell_length_b 3.6511
_cell_length_c 10.9118
_cell_angle_alpha 90.00
_cell_angle_beta 99.49
_cell_angle_gamma 90.00
loop_
_atom_site_label
_atom_site_fract_x
_atom_site_fract_y
_atom_site_fract_z
_atom_site_occupancy
Sm1 0.0499 0.0000 0.2046 1
Sm2 0.4330 0.5000 0.7499 1
Ho1 0.0000 0.5000 0.5000 1
Ho2 0.5000 0.0000 0.5000 1
Mg1 0.5000 0.0000 0.0000 1
```

***

Need the numbers? Relative energies in meV/atom: version 1 0; version 2 42.

***

Version 1
First-principles (PBE-GGA) data for a relaxed structure of Sm4Ho3Mg, as listed in the Alexandria database.

Geometry as CIF:
```
data_Sm4Ho3Mg
_chemical_formula_sum 'Sm8 Ho6 Mg2'
_symmetry_space_group_name_H-M 'C 1 2/m 1'
_symmetry_Int_Tables_number 12
_symmetry_space_group_name_Hall '-C 2y'
_cell_length_a 27.7267
_cell_length_b 3.6161
_cell_length_c 5.2709
_cell_angle_alpha 90.00
_cell_angle_beta 92.80
_cell_angle_gamma 90.00
loop_
_atom_site_label
_atom_site_fract_x
_atom_site_fract_y
_atom_site_fract_z
_atom_site_occupancy
Sm1 0.0966 0.0000 0.2027 1
Sm2 0.2170 0.0000 0.2464 1
Ho1 0.0000 0.5000 0.0000 1
Ho2 0.1520 0.5000 0.7198 1
Mg1 0.0000 0.0000 0.5000 1
```

***

Version 2
First-principles (PBE-GGA) data for a relaxed structure of Sm4Ho3Mg, as listed in the Alexandria database.

Geometry as CIF:
```
data_Sm4Ho3Mg
_chemical_formula_sum 'Sm4 Ho3 Mg1'
_symmetry_space_group_name_H-M 'P 4/m m m'
_symmetry_Int_Tables_number 123
_symmetry_space_group_name_Hall '-P 4 2'
_cell_length_a 3.6011
_cell_length_b 3.6011
_cell_length_c 19.4255
_cell_angle_alpha 90.00
_cell_angle_beta 90.00
_cell_angle_gamma 90.00
loop_
_atom_site_label
_atom_site_fract_x
_atom_site_fract_y
_atom_site_fract_z
_atom_site_occupancy
Sm1 0.0000 0.0000 0.1139 1
Sm2 0.0000 0.0000 0.3714 1
Ho1 0.5000 0.5000 0.2415 1
Ho2 0.5000 0.5000 0.5000 1
Mg1 0.5000 0.5000 0.0000 1
```

***

Need the numbers? Relative energies in meV/atom: version 1 187; version 2 0.

***

Version 1
First-principles (PBE-GGA) data for a relaxed structure of Sm4Ho5Mg2, as listed in the Alexandria database.

Geometry as CIF:
```
data_Sm4Ho5Mg2
_chemical_formula_sum 'Sm4 Ho5 Mg2'
_symmetry_space_group_name_H-M 'P 1 2/m 1'
_symmetry_Int_Tables_number 10
_symmetry_space_group_name_Hall '-P 2y'
_cell_length_a 8.6916
_cell_length_b 3.4460
_cell_length_c 11.4460
_cell_angle_alpha 90.00
_cell_angle_beta 93.89
_cell_angle_gamma 90.00
loop_
_atom_site_label
_atom_site_fract_x
_atom_site_fract_y
_atom_site_fract_z
_atom_site_occupancy
Sm1 0.1475 0.0000 0.3884 1
Sm2 0.2913 0.0000 0.9507 1
Ho1 0.2056 0.5000 0.6690 1
Ho2 0.4258 0.5000 0.2081 1
Ho3 0.5000 0.5000 0.5000 1
Mg1 0.0521 0.5000 0.1310 1
```

***

Version 2
First-principles (PBE-GGA) data for a relaxed structure of Sm4Ho5Mg2, as listed in the Alexandria database.

Geometry as CIF:
```
data_Sm4Ho5Mg2
_chemical_formula_sum 'Sm4 Ho5 Mg2'
_symmetry_space_group_name_H-M 'P -1'
_symmetry_Int_Tables_number 2
_symmetry_space_group_name_Hall '-P 1'
_cell_length_a 3.4962
_cell_length_b 8.4508
_cell_length_c 11.5670
_cell_angle_alpha 90.21
_cell_angle_beta 96.42
_cell_angle_gamma 90.27
loop_
_atom_site_label
_atom_site_fract_x
_atom_site_fract_y
_atom_site_fract_z
_atom_site_occupancy
Sm1 0.0832 0.0615 0.1989 1
Sm2 0.3882 0.2634 0.6744 1
Ho1 0.0000 0.0000 0.5000 1
Ho2 0.0475 0.4729 0.1465 1
Ho3 0.3561 0.6509 0.6026 1
Mg1 0.4876 0.2145 0.9689 1
```

***

Need the numbers? Relative energies in meV/atom: version 1 34; version 2 0.

***

Version 1
First-principles (PBE-GGA) data for a relaxed structure of Sm3Ho6Mg, as listed in the Alexandria database.

Geometry as CIF:
```
data_Sm3Ho6Mg
_chemical_formula_sum 'Sm18 Ho36 Mg6'
_symmetry_space_group_name_H-M 'R -3'
_symmetry_Int_Tables_number 148
_symmetry_space_group_name_Hall '-R 3'
_cell_length_a 9.1252
_cell_length_b 9.1252
_cell_length_c 26.8053
_cell_angle_alpha 90.00
_cell_angle_beta 90.00
_cell_angle_gamma 120.00
loop_
_atom_site_label
_atom_site_fract_x
_atom_site_fract_y
_atom_site_fract_z
_atom_site_occupancy
Sm1 0.0578 0.2410 0.1673 1
Ho1 0.0361 0.2274 0.6067 1
Ho2 0.0634 0.2494 0.7276 1
Mg1 0.0000 0.0000 0.0000 1
Mg2 0.0000 0.0000 0.5000 1
```

***

Version 2
First-principles (PBE-GGA) data for a relaxed structure of Sm3Ho6Mg, as listed in the Alexandria database.

Geometry as CIF:
```
data_Sm3Ho6Mg
_chemical_formula_sum 'Sm12 Ho24 Mg4'
_symmetry_space_group_name_H-M 'C m c 21'
_symmetry_Int_Tables_number 36
_symmetry_space_group_name_Hall 'C 2c -2'
_cell_length_a 11.2530
_cell_length_b 12.4374
_cell_length_c 9.3195
_cell_angle_alpha 90.00
_cell_angle_beta 90.00
_cell_angle_gamma 90.00
loop_
_atom_site_label
_atom_site_fract_x
_atom_site_fract_y
_atom_site_fract_z
_atom_site_occupancy
Sm1 0.0000 0.1412 0.0000 1
Sm2 0.1889 0.3773 0.8645 1
Ho1 0.0000 0.2543 0.6724 1
Ho2 0.0000 0.4487 0.1672 1
Ho3 0.1717 0.0610 0.6726 1
Ho4 0.1809 0.3616 0.4701 1
Mg1 0.0000 0.1265 0.3728 1
```

***

Need the numbers? Relative energies in meV/atom: version 1 0; version 2 12.

***

Version 1
First-principles (PBE-GGA) data for a relaxed structure of Sm6Ho2Mg, as listed in the Alexandria database.

Geometry as CIF:
```
data_Sm6Ho2Mg
_chemical_formula_sum 'Sm12 Ho4 Mg2'
_symmetry_space_group_name_H-M 'P 42/m n m'
_symmetry_Int_Tables_number 136
_symmetry_space_group_name_Hall '-P 4n 2n'
_cell_length_a 10.6548
_cell_length_b 10.6548
_cell_length_c 5.0907
_cell_angle_alpha 90.00
_cell_angle_beta 90.00
_cell_angle_gamma 90.00
loop_
_atom_site_label
_atom_site_fract_x
_atom_site_fract_y
_atom_site_fract_z
_atom_site_occupancy
Sm1 0.0011 0.3328 0.0000 1
Sm2 0.1631 0.8369 0.5000 1
Ho1 0.1685 0.1685 0.5000 1
Mg1 0.0000 0.0000 0.0000 1
```

***

Version 2
First-principles (PBE-GGA) data for a relaxed structure of Sm6Ho2Mg, as listed in the Alexandria database.

Geometry as CIF:
```
data_Sm6Ho2Mg
_chemical_formula_sum 'Sm24 Ho8 Mg4'
_symmetry_space_group_name_H-M 'C 1 2/c 1'
_symmetry_Int_Tables_number 15
_symmetry_space_group_name_Hall '-C 2yc'
_cell_length_a 21.0216
_cell_length_b 9.4435
_cell_length_c 6.0574
_cell_angle_alpha 90.00
_cell_angle_beta 106.73
_cell_angle_gamma 90.00
loop_
_atom_site_label
_atom_site_fract_x
_atom_site_fract_y
_atom_site_fract_z
_atom_site_occupancy
Sm1 0.0791 0.0750 0.4263 1
Sm2 0.0794 0.4241 0.2351 1
Sm3 0.1693 0.2504 0.9195 1
Ho1 0.2497 0.0800 0.4503 1
Mg1 0.0000 0.2508 0.7500 1
```

***

Need the numbers? Relative energies in meV/atom: version 1 0; version 2 47.